1.
{
  "formula": "Tl2PtI6",
  "functional": "PBE",
  "state": "optimized geometry",
  "energy_ev_per_atom": -2.582,
  "crystal_system": "tetragonal",
  "lattice": [[2.1439, -3.7596, 6.5112], [-6.2281, -4.6514, -0.8376], [5.0993, 0.6618, -5.8895]],
  "species": ["I", "I", "I", "I", "I", "I", "Tl", "Tl", "Pt"],
  "frac_coords": [[0.2405, 0.7595, 0.0000], [0.2459, 0.2459, 0.0000], [0.2405, 0.2405, 0.4811], [0.7595, 0.2405, 0.0000], [0.7595, 0.7595, 0.5189], [0.7541, 0.7541, 0.0000], [0.7500, 0.2500, 0.5000], [0.2500, 0.7500, 0.5000], [0.0000, 0.0000, 0.0000]]
}

---

2.
{
  "formula": "TaSnAsO",
  "functional": "PBE",
  "state": "optimized geometry",
  "energy_ev_per_atom": -7.199,
  "e_above_lowest_polymorph_mev_per_atom": 111,
  "crystal_system": "orthorhombic",
  "lattice": [[-1.5214, -2.8078, 2.1433], [7.2664, -3.5998, 0.4419], [1.0896, 2.7339, 4.3549]],
  "species": ["As", "As", "Ta", "Ta", "Sn", "Sn", "O", "O"],
  "frac_coords": [[0.0000, 0.8087, 0.4423], [0.0000, 0.1913, 0.9423], [0.0000, 0.8737, 0.9424], [0.0000, 0.1263, 0.4424], [0.5000, 0.4316, 0.9280], [0.5000, 0.5684, 0.4280], [0.5000, 0.1658, 0.4413], [0.5000, 0.8342, 0.9413]]
}

---

3.
{
  "formula": "CoReNiAs",
  "functional": "PBE",
  "state": "optimized geometry",
  "energy_ev_per_atom": -6.977,
  "e_above_lowest_polymorph_mev_per_atom": 284,
  "crystal_system": "cubic",
  "lattice": [[0.0000, 2.9639, 2.9639], [2.9639, 0.0000, 2.9639], [2.9639, 2.9639, 0.0000]],
  "species": ["Co", "Re", "Ni", "As"],
  "frac_coords": [[0.7500, 0.7500, 0.7500], [0.5000, 0.5000, 0.5000], [0.2500, 0.2500, 0.2500], [0.0000, 0.0000, 0.0000]]
}

---

4.
{
  "formula": "BaZnCdSe3",
  "functional": "PBE",
  "state": "optimized geometry",
  "energy_ev_per_atom": -3.476,
  "e_above_lowest_polymorph_mev_per_atom": 0,
  "crystal_system": "orthorhombic",
  "lattice": [[7.0711, -2.1003, 0.0000], [7.0711, 2.1003, 0.0000], [0.0000, 0.0000, 10.8247]],
  "species": ["Zn", "Zn", "Se", "Se", "Se", "Se", "Se", "Se", "Cd", "Cd", "Ba", "Ba"],
  "frac_coords": [[0.5329, 0.5329, 0.7500], [0.4671, 0.4671, 0.2500], [0.6321, 0.6321, 0.5621], [0.0700, 0.0700, 0.2500], [0.3679, 0.3679, 0.4379], [0.9300, 0.9300, 0.7500], [0.3679, 0.3679, 0.0621], [0.6321, 0.6321, 0.9379], [0.0000, 0.0000, 0.0000], [0.0000, 0.0000, 0.5000], [0.2491, 0.2491, 0.7500], [0.7509, 0.7509, 0.2500]]
}

---

5.
{
  "formula": "MgPd",
  "functional": "PBE",
  "state": "optimized geometry",
  "energy_ev_per_atom": -3.885,
  "crystal_system": "orthorhombic",
  "lattice": [[-0.0892, -2.2698, 4.4458], [4.2342, -9.2788, -4.6522], [4.3158, 1.5335, 0.8695]],
  "species": ["Mg", "Mg", "Mg", "Mg", "Mg", "Mg", "Mg", "Mg", "Pd", "Pd", "Pd", "Pd", "Pd", "Pd", "Pd", "Pd"],
  "frac_coords": [[0.4921, 0.1273, 0.0000], [0.0167, 0.7551, 0.0000], [0.8413, 0.1227, 0.5000], [0.8413, 0.6273, 0.5000], [0.3166, 0.4949, 0.5000], [0.0167, 0.9949, 0.0000], [0.4921, 0.6227, 0.0000], [0.3166, 0.2551, 0.5000], [0.4943, 0.3750, 0.0000], [0.9899, 0.2420, 0.0000], [0.3435, 0.7420, 0.5000], [0.5118, 0.8750, 0.0000], [0.8390, 0.8750, 0.5000], [0.8215, 0.3750, 0.5000], [0.9899, 0.5080, 0.0000], [0.3435, 0.0080, 0.5000]]
}

---

6.
{
  "formula": "TlPdAuSe2S",
  "functional": "PBE",
  "state": "optimized geometry",
  "energy_ev_per_atom": -3.803,
  "crystal_system": "orthorhombic",
  "lattice": [[1.9331, -6.3116, 0.0000], [1.9331, 6.3116, 0.0000], [0.0000, 0.0000, 10.9891]],
  "species": ["Tl", "Tl", "Se", "Se", "Se", "Se", "S", "S", "Pd", "Pd", "Au", "Au"],
  "frac_coords": [[0.1885, 0.8115, 0.2500], [0.8115, 0.1885, 0.7500], [0.1290, 0.8710, 0.9787], [0.1290, 0.8710, 0.5213], [0.8710, 0.1290, 0.4787], [0.8710, 0.1290, 0.0213], [0.4809, 0.5191, 0.7500], [0.5191, 0.4809, 0.2500], [0.5000, 0.5000, 0.0000], [0.5000, 0.5000, 0.5000], [0.1344, 0.8656, 0.7500], [0.8656, 0.1344, 0.2500]]
}